The following is a PBE-GGA calculation of an optimized crystal structure of AcZnCuGe2, from Alexandria.

Geometry as CIF:
```
data_AcZnCuGe2
_chemical_formula_sum 'Ac1 Zn1 Cu1 Ge2'
_cell_length_a 6.099
_cell_length_b 6.099
_cell_length_c 6.099
_cell_angle_alpha 137.69
_cell_angle_beta 137.69
_cell_angle_gamma 61.38
_symmetry_space_group_name_H-M 'P 1'
_symmetry_Int_Tables_number 1
_symmetry_space_group_name_Hall 'P 1'
loop_
_atom_site_label
_atom_site_type_symbol
_atom_site_fract_x
_atom_site_fract_y
_atom_site_fract_z
_atom_site_occupancy
Ac1 Ac 0.000 0.000 0.000 1
Zn1 Zn 0.750 0.250 0.500 1
Cu1 Cu 0.250 0.750 0.500 1
Ge1 Ge 0.376 0.376 0.000 1
Ge2 Ge 0.624 0.624 0.000 1
```

Values from the calculation:
For the energy of formation from the pure elements, the calculation gives -0.466 eV/atom. The volume is 101.7 Å³/cell.